1.
Entry from the Alexandria database: a geometry-optimized Ti2P2Au structure (PBE-GGA).

```
data_Ti2P2Au
_chemical_formula_sum 'Ti4 P4 Au2'
_cell_length_a 6.905
_cell_length_b 6.905
_cell_length_c 3.211
_cell_angle_alpha 90.00
_cell_angle_beta 90.00
_cell_angle_gamma 90.00
_space_group_name_H-M_alt 'P 1'
_space_group_IT_number 1
loop_
_space_group_symop_operation_xyz
'x,y,z'
loop_
_atom_site_label
_atom_site_type_symbol
_atom_site_fract_x
_atom_site_fract_y
_atom_site_fract_z
Ti1 Ti 0.147 0.353 0.000
Ti2 Ti 0.353 0.853 0.000
Ti3 Ti 0.647 0.147 0.000
Ti4 Ti 0.853 0.647 0.000
P1 P 0.145 0.645 0.500
P2 P 0.355 0.145 0.500
P3 P 0.645 0.855 0.500
P4 P 0.855 0.355 0.500
Au1 Au 0.000 0.000 0.500
Au2 Au 0.500 0.500 0.500
```

Summary:
Space group: P4/mbm (127)

=====

2.
Entry from the Alexandria database: a geometry-optimized KZnPt structure (PBE-GGA).

```
data_KZnPt
_chemical_formula_sum 'K1 Zn1 Pt1'
_cell_length_a 4.958
_cell_length_b 4.958
_cell_length_c 4.958
_cell_angle_alpha 60.00
_cell_angle_beta 60.00
_cell_angle_gamma 60.00
_space_group_name_H-M_alt 'P 1'
_space_group_IT_number 1
loop_
_space_group_symop_operation_xyz
'x,y,z'
loop_
_atom_site_label
_atom_site_type_symbol
_atom_site_fract_x
_atom_site_fract_y
_atom_site_fract_z
K1 K 0.000 0.000 0.000
Zn1 Zn 0.250 0.250 0.250
Pt1 Pt 0.750 0.750 0.750
```

Summary:
Space group: F-43m (216)

=====

no.,energy of formation from the pure elements (eV/atom)
1,-0.707
2,0.841